A plane-wave DFT calculation with PBE was carried out for an optimized crystal structure of LiCu2Sb.

**N(E_F)**: 0.80 states/eV/atom
**Spin magnetization**: 0.0 μB/cell
**E_form (uncorrected)**: 30.2 kJ per mole of atoms
**Uncorrected energy**: -3.2441 eV/atom
**Space group**: R-3m

Cell lengths 8.774, 8.774, 8.774 Å; angles 20.12, 20.12, 20.12 degrees
Fractional coordinates of all 4 atoms:
Li: 0.000 0.000 0.000
Cu: 0.253 0.253 0.253
Cu: 0.747 0.747 0.747
Sb: 0.500 0.500 0.500

A plane-wave DFT calculation with PBE was carried out for an optimized crystal structure of Li2CuSb.

**N(E_F)**: 0.23 states/eV/atom
**Spin magnetization**: 0.0 μB/cell
**E_form (uncorrected)**: -7.7 kJ per mole of atoms
**Uncorrected energy**: -3.0913 eV/atom
**Space group**: I-42d

Cell lengths 5.929, 5.929, 5.929 Å; angles 101.16, 101.16, 127.79 degrees
Fractional coordinates of all 8 atoms:
Li: 0.094 0.625 0.969
Li: 0.375 0.344 0.469
Li: 0.656 0.125 0.031
Li: 0.875 0.906 0.531
Cu: 0.000 0.000 0.000
Cu: 0.750 0.250 0.500
Sb: 0.250 0.750 0.500
Sb: 0.500 0.500 0.000

A plane-wave DFT calculation with PBE was carried out for an optimized crystal structure of LiCu2Sb.

**N(E_F)**: 0.20 states/eV/atom
**Spin magnetization**: 0.0 μB/cell
**E_form (uncorrected)**: -5.5 kJ per mole of atoms
**Uncorrected energy**: -3.6143 eV/atom
**Space group**: C2/m

Cell lengths 4.606, 4.606, 4.742 Å; angles 99.67, 99.67, 39.51 degrees
Fractional coordinates of all 4 atoms:
Li: 0.000 0.000 0.000
Cu: 0.253 0.253 0.778
Cu: 0.747 0.747 0.222
Sb: 0.500 0.500 0.500

A plane-wave DFT calculation with PBE was carried out for an optimized crystal structure of Li2CuSb.

**N(E_F)**: 0.29 states/eV/atom
**Spin magnetization**: 0.0 μB/cell
**E_form (uncorrected)**: -19.2 kJ per mole of atoms
**Uncorrected energy**: -3.2110 eV/atom
**Space group**: P2/m

Cell lengths 2.962, 4.227, 5.501 Å; angles 90.00, 90.77, 90.00 degrees
Fractional coordinates of all 4 atoms:
Li: 0.010 0.000 0.258
Li: 0.990 0.000 0.742
Cu: 0.500 0.500 0.500
Sb: 0.500 0.500 0.000

A plane-wave DFT calculation with PBE was carried out for an optimized crystal structure of LiCu2Sb.

**N(E_F)**: 0.46 states/eV/atom
**Spin magnetization**: 0.0 μB/cell
**E_form (uncorrected)**: -9.3 kJ per mole of atoms
**Uncorrected energy**: -3.6530 eV/atom
**Space group**: F-43m

Cell lengths 4.423, 4.423, 4.423 Å; angles 60.00, 60.00, 60.00 degrees
Fractional coordinates of all 4 atoms:
Li: 0.000 0.000 0.000
Cu: 0.250 0.250 0.250
Cu: 0.500 0.500 0.500
Sb: 0.750 0.750 0.750

A plane-wave DFT calculation with PBE was carried out for an optimized crystal structure of Li2CuSb.

**N(E_F)**: 0.01 states/eV/atom
**Spin magnetization**: 0.0 μB/cell
**E_form (uncorrected)**: -40.3 kJ per mole of atoms
**Uncorrected energy**: -3.4290 eV/atom
**Space group**: I-4m2

Cell lengths 4.483, 4.483, 4.483 Å; angles 119.94, 119.94, 90.10 degrees
Fractional coordinates of all 4 atoms:
Li: 0.000 0.000 0.000
Li: 0.750 0.250 0.500
Cu: 0.500 0.500 0.000
Sb: 0.250 0.750 0.500

A plane-wave DFT calculation with PBE was carried out for an optimized crystal structure of LiCu2Sb.

**N(E_F)**: 0.26 states/eV/atom
**Spin magnetization**: 0.0 μB/cell
**E_form (uncorrected)**: -1.3 kJ per mole of atoms
**Uncorrected energy**: -3.5706 eV/atom
**Space group**: P2/m

Cell lengths 2.935, 4.436, 5.193 Å; angles 90.00, 96.84, 90.00 degrees
Fractional coordinates of all 4 atoms:
Li: 0.000 0.000 0.000
Cu: 0.392 0.500 0.219
Cu: 0.608 0.500 0.781
Sb: 0.500 0.000 0.500

A plane-wave DFT calculation with PBE was carried out for an optimized crystal structure of Li2CuSb2.

**N(E_F)**: 0.28 states/eV/atom
**Excess energy over the best structure of this formula in the dataset**: 0 meV per atom
**Spin magnetization**: 0.0 μB/cell
**E_form (uncorrected)**: -26.6 kJ per mole of atoms
**Uncorrected energy**: -3.5090 eV/atom
**Space group**: P4/mbm

Cell lengths 6.885, 6.885, 4.550 Å; angles 90.00, 90.00, 90.00 degrees
Fractional coordinates of all 10 atoms:
Li: 0.159 0.341 0.000
Li: 0.341 0.841 0.000
Li: 0.659 0.159 0.000
Li: 0.841 0.659 0.000
Cu: 0.000 0.000 0.500
Cu: 0.500 0.500 0.500
Sb: 0.150 0.650 0.500
Sb: 0.350 0.150 0.500
Sb: 0.650 0.850 0.500
Sb: 0.850 0.350 0.500

A plane-wave DFT calculation with PBE was carried out for an optimized crystal structure of LiCu3Sb.

**N(E_F)**: 0.44 states/eV/atom
**Excess energy over the best structure of this formula in the dataset**: 0 meV per atom
**Spin magnetization**: 0.0 μB/cell
**E_form (uncorrected)**: 44.7 kJ per mole of atoms
**Uncorrected energy**: -3.2015 eV/atom
**Space group**: Pm-3m

Cell lengths 4.853, 4.853, 4.853 Å; angles 90.00, 90.00, 90.00 degrees
Fractional coordinates of all 5 atoms:
Li: 0.000 0.000 0.000
Cu: 0.000 0.500 0.500
Cu: 0.500 0.000 0.500
Cu: 0.500 0.500 0.000
Sb: 0.500 0.500 0.500

A plane-wave DFT calculation with PBE was carried out for an optimized crystal structure of Li2Cu2Sb.

**N(E_F)**: 0.28 states/eV/atom
**Excess energy over the best structure of this formula in the dataset**: 146 meV per atom
**Spin magnetization**: 0.0 μB/cell
**E_form (uncorrected)**: 0.9 kJ per mole of atoms
**Uncorrected energy**: -3.2196 eV/atom
**Space group**: P4/mbm

Cell lengths 6.882, 6.882, 3.264 Å; angles 90.00, 90.00, 90.00 degrees
Fractional coordinates of all 10 atoms:
Li: 0.140 0.360 0.000
Li: 0.360 0.860 0.000
Li: 0.640 0.140 0.000
Li: 0.860 0.640 0.000
Cu: 0.141 0.641 0.500
Cu: 0.359 0.141 0.500
Cu: 0.641 0.859 0.500
Cu: 0.859 0.359 0.500
Sb: 0.000 0.000 0.000
Sb: 0.500 0.500 0.000

A plane-wave DFT calculation with PBE was carried out for an optimized crystal structure of LiCu2Sb.

**N(E_F)**: 0.17 states/eV/atom
**Spin magnetization**: 0.0 μB/cell
**E_form (uncorrected)**: -13.9 kJ per mole of atoms
**Uncorrected energy**: -3.7008 eV/atom
**Space group**: I4/mmm

Cell lengths 4.592, 4.592, 4.592 Å; angles 125.63, 125.63, 80.50 degrees
Fractional coordinates of all 4 atoms:
Li: 0.000 0.000 0.000
Cu: 0.250 0.750 0.500
Cu: 0.750 0.250 0.500
Sb: 0.500 0.500 0.000

A plane-wave DFT calculation with PBE was carried out for an optimized crystal structure of Li2CuSb.

**N(E_F)**: 0.30 states/eV/atom
**Spin magnetization**: 0.0 μB/cell
**E_form (uncorrected)**: -29.1 kJ per mole of atoms
**Uncorrected energy**: -3.3128 eV/atom
**Space group**: P4/mmm

Cell lengths 3.933, 3.933, 4.223 Å; angles 90.00, 90.00, 90.00 degrees
Fractional coordinates of all 4 atoms:
Li: 0.000 0.500 0.000
Li: 0.500 0.000 0.000
Cu: 0.000 0.000 0.500
Sb: 0.500 0.500 0.500

A plane-wave DFT calculation with PBE was carried out for an optimized crystal structure of LiCu2Sb.

**N(E_F)**: 0.35 states/eV/atom
**Spin magnetization**: 0.0 μB/cell
**E_form (uncorrected)**: -1.4 kJ per mole of atoms
**Uncorrected energy**: -3.5712 eV/atom
**Space group**: Pm

Cell lengths 2.949, 4.159, 5.428 Å; angles 90.00, 103.21, 90.00 degrees
Fractional coordinates of all 4 atoms:
Li: 0.000 0.000 0.000
Cu: 0.344 0.500 0.709
Cu: 0.744 0.000 0.539
Sb: 0.593 0.500 0.236

A plane-wave DFT calculation with PBE was carried out for an optimized crystal structure of Li2CuSb2.

**N(E_F)**: 0.28 states/eV/atom
**Excess energy over the best structure of this formula in the dataset**: 215 meV per atom
**Spin magnetization**: 0.0 μB/cell
**E_form (uncorrected)**: -5.8 kJ per mole of atoms
**Uncorrected energy**: -3.2940 eV/atom
**Space group**: P4/mbm

Cell lengths 7.845, 7.845, 3.143 Å; angles 90.00, 90.00, 90.00 degrees
Fractional coordinates of all 10 atoms:
Li: 0.113 0.387 0.000
Li: 0.387 0.887 0.000
Li: 0.613 0.113 0.000
Li: 0.887 0.613 0.000
Cu: 0.000 0.000 0.000
Cu: 0.500 0.500 0.000
Sb: 0.190 0.690 0.500
Sb: 0.310 0.190 0.500
Sb: 0.690 0.810 0.500
Sb: 0.810 0.310 0.500

A plane-wave DFT calculation with PBE was carried out for an optimized crystal structure of LiCu3Sb.

**N(E_F)**: 0.39 states/eV/atom
**Excess energy over the best structure of this formula in the dataset**: 33 meV per atom
**Spin magnetization**: 0.0 μB/cell
**E_form (uncorrected)**: 47.9 kJ per mole of atoms
**Uncorrected energy**: -3.1683 eV/atom
**Space group**: Pm-3m

Cell lengths 4.270, 4.270, 4.270 Å; angles 90.00, 90.00, 90.00 degrees
Fractional coordinates of all 5 atoms:
Li: 0.000 0.000 0.000
Cu: 0.000 0.000 0.500
Cu: 0.000 0.500 0.000
Cu: 0.500 0.000 0.000
Sb: 0.500 0.500 0.500

A plane-wave DFT calculation with PBE was carried out for an optimized crystal structure of LiCu2Sb.

**N(E_F)**: 0.22 states/eV/atom
**Spin magnetization**: 0.0 μB/cell
**E_form (uncorrected)**: 15.8 kJ per mole of atoms
**Uncorrected energy**: -3.3931 eV/atom
**Space group**: R3m

Cell lengths 7.431, 7.431, 7.431 Å; angles 26.69, 26.69, 26.69 degrees
Fractional coordinates of all 4 atoms:
Li: 0.000 0.000 0.000
Cu: 0.479 0.479 0.479
Cu: 0.748 0.748 0.748
Sb: 0.229 0.229 0.229

A plane-wave DFT calculation with PBE was carried out for an optimized crystal structure of Li2CuSb.

**N(E_F)**: 0.43 states/eV/atom
**Spin magnetization**: 0.0 μB/cell
**E_form (uncorrected)**: -13.5 kJ per mole of atoms
**Uncorrected energy**: -3.1511 eV/atom
**Space group**: Pmm2

Cell lengths 3.174, 3.895, 5.688 Å; angles 90.00, 90.00, 90.00 degrees
Fractional coordinates of all 4 atoms:
Li: 0.000 0.000 0.000
Li: 0.500 0.500 0.261
Cu: 0.500 0.500 0.761
Sb: 0.000 0.000 0.522

A plane-wave DFT calculation with PBE was carried out for an optimized crystal structure of Li3CuSb2.

**N(E_F)**: 0.38 states/eV/atom
**Spin magnetization**: 0.0 μB/cell
**E_form (uncorrected)**: -35.8 kJ per mole of atoms
**Uncorrected energy**: -3.3848 eV/atom
**Space group**: Ibam

Cell lengths 8.010, 8.010, 8.010 Å; angles 137.82, 61.29, 137.67 degrees
Fractional coordinates of all 12 atoms:
Li: 0.164 0.245 0.409
Li: 0.250 0.250 0.000
Li: 0.336 0.745 0.082
Li: 0.664 0.255 0.918
Li: 0.750 0.750 0.000
Li: 0.836 0.755 0.591
Cu: 0.250 0.750 0.500
Cu: 0.750 0.250 0.500
Sb: 0.129 0.736 0.865
Sb: 0.371 0.236 0.607
Sb: 0.629 0.764 0.393
Sb: 0.871 0.264 0.135

A plane-wave DFT calculation with PBE was carried out for an optimized crystal structure of LiCuSb.

**N(E_F)**: 0.18 states/eV/atom
**Spin magnetization**: 0.0 μB/cell
**E_form (uncorrected)**: 6.7 kJ per mole of atoms
**Uncorrected energy**: -3.3080 eV/atom
**Space group**: P3m1

Cell lengths 3.176, 3.176, 6.538 Å; angles 90.00, 90.00, 120.00 degrees
Fractional coordinates of all 3 atoms:
Li: 0.000 0.000 0.000
Cu: 0.333 0.667 0.686
Sb: 0.667 0.333 0.367

A plane-wave DFT calculation with PBE was carried out for an optimized crystal structure of LiCu2Sb.

**N(E_F)**: 0.47 states/eV/atom
**Spin magnetization**: 0.0 μB/cell
**E_form (uncorrected)**: -11.9 kJ per mole of atoms
**Uncorrected energy**: -3.6810 eV/atom
**Space group**: P4/mmm

Cell lengths 3.965, 3.965, 3.875 Å; angles 90.00, 90.00, 90.00 degrees
Fractional coordinates of all 4 atoms:
Li: 0.000 0.000 0.000
Cu: 0.000 0.500 0.500
Cu: 0.500 0.000 0.500
Sb: 0.500 0.500 0.000